Compound: Ba2CuRe
Source: the Alexandria database
Functional: PBE-GGA
Structure: optimized geometry

## Properties
- size of the total moment (μB per formula unit) = 1.0
- E (eV per atom) = -4.426
- space-group type = No. 38

```
data_Ba2CuRe
_chemical_formula_sum 'Ba2 Cu1 Re1'
_space_group_name_H-M_alt 'P 1'
_space_group_IT_number 1
_space_group_name_Hall 'P 1'
_cell_length_a 6.240
_cell_length_b 6.240
_cell_length_c 4.440
_cell_angle_alpha 90.00
_cell_angle_beta 90.00
_cell_angle_gamma 133.28
loop_
_atom_site_label
_atom_site_type_symbol
_atom_site_fract_x
_atom_site_fract_y
_atom_site_fract_z
Cu1 Cu 0.795 0.330 0.000
Re1 Re 0.709 0.416 0.500
Ba1 Ba 0.103 0.022 0.000
Ba2 Ba 0.393 0.732 0.500
```

***

Compound: Ni2Os
Source: the Alexandria database
Functional: PBE-GGA
Structure: optimized geometry

## Properties
- size of the total moment (μB per formula unit) = 0.0
- E (eV per atom) = -7.475
- space-group type = No. 8

```
data_Ni2Os
_chemical_formula_sum 'Ni4 Os2'
_space_group_name_H-M_alt 'P 1'
_space_group_IT_number 1
_space_group_name_Hall 'P 1'
_cell_length_a 4.868
_cell_length_b 4.868
_cell_length_c 6.067
_cell_angle_alpha 76.72
_cell_angle_beta 76.72
_cell_angle_gamma 31.59
loop_
_atom_site_label
_atom_site_type_symbol
_atom_site_fract_x
_atom_site_fract_y
_atom_site_fract_z
Os1 Os 0.280 0.280 0.946
Ni1 Ni 0.665 0.665 0.663
Ni2 Ni 0.000 0.000 0.006
Ni3 Ni 0.612 0.612 0.276
Ni4 Ni 0.333 0.333 0.335
Os2 Os 0.943 0.943 0.608
```

***

Copy entry 1 word for word.
Compound: Ba2CuRe
Source: the Alexandria database
Functional: PBE-GGA
Structure: optimized geometry

## Properties
- size of the total moment (μB per formula unit) = 1.0
- E (eV per atom) = -4.426
- space-group type = No. 38

```
data_Ba2CuRe
_chemical_formula_sum 'Ba2 Cu1 Re1'
_space_group_name_H-M_alt 'P 1'
_space_group_IT_number 1
_space_group_name_Hall 'P 1'
_cell_length_a 6.240
_cell_length_b 6.240
_cell_length_c 4.440
_cell_angle_alpha 90.00
_cell_angle_beta 90.00
_cell_angle_gamma 133.28
loop_
_atom_site_label
_atom_site_type_symbol
_atom_site_fract_x
_atom_site_fract_y
_atom_site_fract_z
Cu1 Cu 0.795 0.330 0.000
Re1 Re 0.709 0.416 0.500
Ba1 Ba 0.103 0.022 0.000
Ba2 Ba 0.393 0.732 0.500
```